[1]
Computed, not measured: a relaxed structure of Pm3TcCl2O6 at the PBE-GGA level of DFT.

Calculated values
Formation energy (no corrections) in eV/atom: -2.221
Calculated volume in Å³/atom: 17.99

Cell lengths 5.6250, 6.6915, 6.7084 Å; angles 119.92, 81.84, 90.00 degrees
Last column: magnetic moment on the atom in μB.
Element x y z (fractional)
Tc  0.5000  0.0000  0.0000  1.53
O  0.3001  0.7093  0.8872  0.03
O  0.3303  0.1607  0.3213  0.03
O  0.6697  0.8393  0.6787  0.03
O  0.6999  0.8221  0.1128  0.03
O  0.3001  0.1779  0.8872  0.03
O  0.6999  0.2907  0.1128  0.03
Pm  0.0000  0.5000  0.0000  0.02
Pm  0.5000  0.5000  0.5000  0.03
Pm  0.5000  0.0000  0.5000  0.03
Cl  0.1347  0.7139  0.4277  0.00
Cl  0.8653  0.2861  0.5723  0.00

[2]
Computed, not measured: a relaxed structure of Pm3TeCl2O6 at the PBE-GGA level of DFT.

Calculated values
Formation energy (no corrections) in eV/atom: -2.168
Calculated volume in Å³/atom: 18.76

Cell lengths 5.5806, 6.7859, 6.9191 Å; angles 119.37, 81.66, 90.00 degrees
Element x y z (fractional)
Pm  0.0000  0.5000  0.0000
Pm  0.5000  0.5000  0.5000
Pm  0.5000  0.0000  0.5000
O  0.2981  0.1799  0.8797
O  0.7019  0.3003  0.1203
O  0.7019  0.8201  0.1203
O  0.6703  0.8371  0.6742
O  0.2981  0.6997  0.8797
O  0.3297  0.1629  0.3258
Te  0.5000  0.0000  0.0000
Cl  0.8588  0.2935  0.5869
Cl  0.1412  0.7065  0.4131

[3]
Computed, not measured: a relaxed structure of PmUClO4 at the PBE-GGA level of DFT.

Calculated values
Formation energy (no corrections) in eV/atom: -2.897
Calculated volume in Å³/atom: 19.62

Cell lengths 6.9400, 6.9400, 6.4833 Å; angles 89.76, 89.76, 61.61 degrees
Element x y z (fractional)
O  0.8806  0.5115  0.8277
O  0.2409  0.2409  0.5663
O  0.7591  0.7591  0.4337
O  0.1194  0.4885  0.1723
O  0.4749  0.4749  0.6934
O  0.4885  0.1194  0.1723
O  0.5251  0.5251  0.3066
O  0.5115  0.8806  0.8277
Cl  0.0273  0.0273  0.2483
Cl  0.9727  0.9727  0.7517
Pm  0.1905  0.1905  0.9395
Pm  0.8095  0.8095  0.0605
U  0.6329  0.6329  0.6116
U  0.3671  0.3671  0.3884

Which size of the total moment belongs to each record? In order, 2.00; 0.00; 0.00 μB/f.u..